# 1
Compound: BaMn2Cu2O6
Source: the Alexandria database
Functional: GGA+U
Structure: relaxed

```
BaMn2Cu2O6
1.0
5.720 0.000 0.000
-2.746 5.021 0.000
-1.471 -2.325 5.804
Ba Mn Cu O
1 2 2 6
Direct
0.000 0.000 0.000
0.343 0.658 0.001
0.657 0.342 0.999
0.225 0.775 0.500
0.775 0.225 0.500
0.103 0.675 0.194
0.321 0.900 0.806
0.496 0.500 0.814
0.504 0.500 0.186
0.679 0.100 0.194
0.897 0.325 0.806
```

## Properties
Uncorrected energy in eV per formula unit: -68.6
Space group: P-1 (2)

***

# 2
Compound: Ba2MnCu2O6
Source: the Alexandria database
Functional: GGA+U
Structure: relaxed

```
Ba2MnCu2O6
1.0
2.920 1.686 5.360
-2.920 1.686 5.360
0.000 -3.372 5.360
Ba Mn Cu O
2 1 2 6
Direct
0.223 0.223 0.223
0.777 0.777 0.777
0.000 0.000 0.000
0.413 0.413 0.413
0.587 0.587 0.587
0.223 0.772 0.772
0.228 0.228 0.777
0.228 0.777 0.228
0.772 0.223 0.772
0.772 0.772 0.223
0.777 0.228 0.228
```

## Properties
Uncorrected energy in eV per formula unit: -65.9
Space group: R-3m (166)

***

# 3
Compound: Ba3MnCu2O6
Source: the Alexandria database
Functional: GGA+U
Structure: relaxed

```
Ba3MnCu2O6
1.0
5.958 0.000 0.000
-2.979 5.160 0.000
0.000 0.000 6.783
Ba Mn Cu O
3 1 2 6
Direct
0.000 0.000 0.000
0.333 0.667 0.652
0.667 0.333 0.348
0.000 0.000 0.500
0.333 0.667 0.215
0.667 0.333 0.785
0.161 0.323 0.315
0.161 0.839 0.315
0.323 0.161 0.685
0.677 0.839 0.315
0.839 0.161 0.685
0.839 0.677 0.685
```

## Properties
Uncorrected energy in eV per formula unit: -71.0
Space group: P-3m1 (164)